VASP calculation (PBE) on a relaxed Tb4GaS3 crystal.

Values from the calculation:
ΔE_f (raw) = -1.68 eV/atom
SG = Pm-3m
VASP energy = -47.40 eV per cell

abc: 5.6484 5.6484 5.6484
angles: 90.00 90.00 90.00
Atoms (fractional coordinates):
S  0.5000  0.5000  0.0000
S  0.0000  0.5000  0.5000
S  0.5000  0.0000  0.5000
Ga  0.0000  0.0000  0.0000
Tb  0.5000  0.5000  0.5000
Tb  0.0000  0.5000  0.0000
Tb  0.0000  0.0000  0.5000
Tb  0.5000  0.0000  0.0000